No. 1
Here is BaLi4 at its PBEsol-relaxed geometry from the Alexandria database. Energies are from meta-GGA SCAN.

Cell lengths 10.6272, 10.6272, 8.8006 Å; angles 90.00, 90.00, 120.00 degrees
Space group P6_3/mmc (No. 194)
Unique sites:
Ba (0.0578, 0.5289, 0.2500) [6 per cell]
Li (0.0000, 0.0000, 0.0000) [2 per cell]
Li (0.1002, 0.2003, 0.2500) [6 per cell]
Li (0.1641, 0.3283, 0.5672) [12 per cell]
Li (0.3333, 0.6667, 0.5861) [4 per cell]

- D(E_F): 0.57 states/eV/atom
- Magnetization: 0.02 μB/f.u.
- Energy of formation: -1 meV per atom
- Excess energy over the best structure of this formula in the dataset: 0 meV per atom
- Uncorrected energy: -9.823 eV/atom

=====

No. 2
Here is ReAgIr at its PBEsol-relaxed geometry from the Alexandria database. Energies are from meta-GGA SCAN.

Cell lengths 2.768, 2.768, 11.799 Å; angles 90.00, 90.00, 90.00 degrees
Space group I4mm (No. 107)
Unique sites:
Re (0.000, 0.000, 0.000) [2 per cell]
Ag (0.000, 0.000, 0.677) [2 per cell]
Ir (0.000, 0.000, 0.356) [2 per cell]

- D(E_F): 0.49 states/eV/atom
- Magnetization: 0.00 μB/f.u.
- Energy of formation: 238 meV per atom
- Excess energy over the best structure of this formula in the dataset: 0 meV per atom
- Uncorrected energy: -57.616 eV/atom

=====

No. 3
Here is CuNiRh2 at its PBEsol-relaxed geometry from the Alexandria database. Energies are from meta-GGA SCAN.

Cell lengths 2.6215, 2.6215, 25.0244 Å; angles 90.00, 90.00, 120.00 degrees
Space group R-3m (No. 166, hexagonal axes)
Unique sites:
Cu (0.0000, 0.0000, 0.0000) [3 per cell]
Ni (0.0000, 0.0000, 0.5000) [3 per cell]
Rh (0.0000, 0.0000, 0.2485) [6 per cell]

- D(E_F): 0.89 states/eV/atom
- Magnetization: 2.02 μB/f.u.
- Energy of formation: 34 meV per atom
- Uncorrected energy: -24.695 eV/atom

=====

No. 4
Here is TaHg2MoPd at its PBEsol-relaxed geometry from the Alexandria database. Energies are from meta-GGA SCAN.

Cell lengths 4.848, 4.848, 4.690 Å; angles 90.00, 90.00, 90.00 degrees
Space group P4/mmm (No. 123)
Unique sites:
Ta (0.000, 0.000, 0.000) [1 per cell]
Hg (0.000, 0.500, 0.500) [2 per cell]
Mo (0.500, 0.500, 0.000) [1 per cell]
Pd (0.500, 0.500, 0.500) [1 per cell]

- D(E_F): 0.81 states/eV/atom
- Magnetization: 0.54 μB/f.u.
- Energy of formation: 1657 meV per atom
- Uncorrected energy: -52.458 eV/atom

=====

No. 5
Here is YHfTc2Au at its PBEsol-relaxed geometry from the Alexandria database. Energies are from meta-GGA SCAN.

Cell lengths 4.922, 4.922, 4.831 Å; angles 90.00, 90.00, 90.00 degrees
Space group P4/mmm (No. 123)
Unique sites:
Y (0.000, 0.000, 0.000) [1 per cell]
Hf (0.500, 0.500, 0.000) [1 per cell]
Tc (0.000, 0.500, 0.500) [2 per cell]
Au (0.500, 0.500, 0.500) [1 per cell]

- D(E_F): 0.99 states/eV/atom
- Magnetization: 2.77 μB/f.u.
- Energy of formation: 1105 meV per atom
- Uncorrected energy: -44.854 eV/atom

=====

No. 6
Here is K2Ag2Hg at its PBEsol-relaxed geometry from the Alexandria database. Energies are from meta-GGA SCAN.

Cell lengths 7.379, 7.379, 5.167 Å; angles 90.00, 90.00, 90.00 degrees
Space group P4/mbm (No. 127)
Unique sites:
K (0.178, 0.322, 0.000) [4 per cell]
Ag (0.131, 0.631, 0.500) [4 per cell]
Hg (0.000, 0.000, 0.500) [2 per cell]

- D(E_F): 0.33 states/eV/atom
- Magnetization: 0.00 μB/f.u.
- Energy of formation: -25 meV per atom
- Excess energy over the best structure of this formula in the dataset: 9 meV per atom
- Uncorrected energy: -29.537 eV/atom

=====

No. 7
Here is H3PdRu at its PBEsol-relaxed geometry from the Alexandria database. Energies are from meta-GGA SCAN.

Cell lengths 3.381, 3.381, 3.381 Å; angles 90.00, 90.00, 90.00 degrees
Space group Pm-3m (No. 221)
Unique sites:
H (0.000, 0.000, 0.500) [3 per cell]
Pd (0.000, 0.000, 0.000) [1 per cell]
Ru (0.500, 0.500, 0.500) [1 per cell]

- D(E_F): 0.32 states/eV/atom
- Magnetization: 1.96 μB/f.u.
- Uncorrected energy: -15.127 eV/atom

=====

No. 8
Here is MgZn2Si at its PBEsol-relaxed geometry from the Alexandria database. Energies are from meta-GGA SCAN.

Cell lengths 3.913, 4.164, 7.762 Å; angles 90.00, 90.00, 90.00 degrees
Space group Cmm2 (No. 35)
Unique sites:
Mg (0.000, 0.000, 0.000) [2 per cell]
Zn (0.000, 0.000, 0.506) [2 per cell]
Zn (0.000, 0.500, 0.737) [2 per cell]
Si (0.000, 0.500, 0.267) [2 per cell]

- D(E_F): 0.33 states/eV/atom
- Magnetization: 0.00 μB/f.u.
- Excess energy over the best structure of this formula in the dataset: 33 meV per atom
- Formation energy (no corrections): 162 meV per atom
- Uncorrected energy: -10.343 eV/atom

=====

Question: What is the uncorrected energy in the third record?
Answer: -24.695 eV/atom

=====

Question: Which value of uncorrected energy does entry 8 give?
Answer: -10.343 eV/atom